1.
This record from Alexandria describes crystalline Gd3BiOs at its relaxed geometry. The functional is PBE.

```
data_Gd3BiOs
_chemical_formula_sum 'Gd3 Bi1 Os1'
_space_group_name_H-M_alt 'P m -3 m'
_space_group_IT_number 221
_space_group_name_Hall '-P 4 2 3'
_cell_length_a 5.4007
_cell_length_b 5.4007
_cell_length_c 5.4007
_cell_angle_alpha 90.00
_cell_angle_beta 90.00
_cell_angle_gamma 90.00
loop_
_atom_site_label
_atom_site_type_symbol
_atom_site_fract_x
_atom_site_fract_y
_atom_site_fract_z
Gd1 Gd 0.0000 0.0000 0.5000
Bi1 Bi 0.5000 0.5000 0.5000
Os1 Os 0.0000 0.0000 0.0000
```

## Properties
* DFT total energy: -11.7605 eV per atom
* DOS(E_F): 3.63 states/eV/f.u.
* mass density: 9.181 g/cm³
* ΔE_f: -0.290 eV per atom
* volume: 31.51 Å³ per atom

2.
This record from Alexandria describes crystalline GdBiP2 at its relaxed geometry. The functional is PBE.

```
data_GdBiP2
_chemical_formula_sum 'Gd3 Bi3 P6'
_space_group_name_H-M_alt 'R -3 m'
_space_group_IT_number 166
_space_group_name_Hall '-R 3 2"'
_cell_length_a 4.2234
_cell_length_b 4.2234
_cell_length_c 23.9180
_cell_angle_alpha 90.00
_cell_angle_beta 90.00
_cell_angle_gamma 120.00
loop_
_atom_site_label
_atom_site_type_symbol
_atom_site_fract_x
_atom_site_fract_y
_atom_site_fract_z
Gd1 Gd 0.0000 0.0000 0.0000
Bi1 Bi 0.0000 0.0000 0.5000
P1 P 0.0000 0.0000 0.3908
```

## Properties
* DFT total energy: -7.3424 eV per atom
* DOS(E_F): 2.86 states/eV/f.u.
* mass density: 5.773 g/cm³
* ΔE_f: -0.147 eV per atom
* volume: 30.79 Å³ per atom

3.
This record from Alexandria describes crystalline Gd2BiP at its relaxed geometry. The functional is PBE.

```
data_Gd2BiP
_chemical_formula_sum 'Gd6 Bi3 P3'
_space_group_name_H-M_alt 'R -3 m'
_space_group_IT_number 166
_space_group_name_Hall '-R 3 2"'
_cell_length_a 4.2230
_cell_length_b 4.2230
_cell_length_c 21.5583
_cell_angle_alpha 90.00
_cell_angle_beta 90.00
_cell_angle_gamma 120.00
loop_
_atom_site_label
_atom_site_type_symbol
_atom_site_fract_x
_atom_site_fract_y
_atom_site_fract_z
Gd1 Gd 0.0000 0.0000 0.2394
Bi1 Bi 0.0000 0.0000 0.0000
P1 P 0.0000 0.0000 0.5000
```

## Properties
* DFT total energy: -10.5761 eV per atom
* DOS(E_F): 1.02 states/eV/f.u.
* mass density: 8.295 g/cm³
* ΔE_f: -1.213 eV per atom
* volume: 27.75 Å³ per atom

4.
This record from Alexandria describes crystalline Gd2PaBi at its relaxed geometry. The functional is PBE.

```
data_Gd2PaBi
_chemical_formula_sum 'Gd2 Pa1 Bi1'
_space_group_name_H-M_alt 'P 4/m m m'
_space_group_IT_number 123
_space_group_name_Hall '-P 4 2'
_cell_length_a 3.9092
_cell_length_b 3.9092
_cell_length_c 7.4940
_cell_angle_alpha 90.00
_cell_angle_beta 90.00
_cell_angle_gamma 90.00
loop_
_atom_site_label
_atom_site_type_symbol
_atom_site_fract_x
_atom_site_fract_y
_atom_site_fract_z
Gd1 Gd 0.0000 0.0000 0.2338
Pa1 Pa 0.5000 0.5000 0.5000
Bi1 Bi 0.5000 0.5000 0.0000
```

## Properties
* DFT total energy: -10.5504 eV per atom
* DOS(E_F): 4.63 states/eV/f.u.
* mass density: 10.940 g/cm³
* ΔE_f: -0.166 eV per atom
* volume: 28.63 Å³ per atom
* offset from the most stable computed form: 0 meV per atom

5.
This record from Alexandria describes crystalline GdPa2Bi at its relaxed geometry. The functional is PBE.

```
data_GdPa2Bi
_chemical_formula_sum 'Gd3 Pa6 Bi3'
_space_group_name_H-M_alt 'R -3 m'
_space_group_IT_number 166
_space_group_name_Hall '-R 3 2"'
_cell_length_a 3.2952
_cell_length_b 3.2952
_cell_length_c 36.9383
_cell_angle_alpha 90.00
_cell_angle_beta 90.00
_cell_angle_gamma 120.00
loop_
_atom_site_label
_atom_site_type_symbol
_atom_site_fract_x
_atom_site_fract_y
_atom_site_fract_z
Gd1 Gd 0.0000 0.0000 0.0000
Pa1 Pa 0.0000 0.0000 0.4124
Bi1 Bi 0.0000 0.0000 0.5000
```

## Properties
* DFT total energy: -8.9368 eV per atom
* DOS(E_F): 9.06 states/eV/f.u.
* mass density: 11.879 g/cm³
* ΔE_f: 0.302 eV per atom
* volume: 28.95 Å³ per atom

6.
This record from Alexandria describes crystalline Gd2PaBi at its relaxed geometry. The functional is PBE.

```
data_Gd2PaBi
_chemical_formula_sum 'Gd2 Pa1 Bi1'
_space_group_name_H-M_alt 'P 4/m m m'
_space_group_IT_number 123
_space_group_name_Hall '-P 4 2'
_cell_length_a 4.9358
_cell_length_b 4.9358
_cell_length_c 4.5628
_cell_angle_alpha 90.00
_cell_angle_beta 90.00
_cell_angle_gamma 90.00
loop_
_atom_site_label
_atom_site_type_symbol
_atom_site_fract_x
_atom_site_fract_y
_atom_site_fract_z
Gd1 Gd 0.0000 0.5000 0.0000
Pa1 Pa 0.0000 0.0000 0.5000
Bi1 Bi 0.5000 0.5000 0.5000
```

## Properties
* DFT total energy: -10.5172 eV per atom
* DOS(E_F): 7.63 states/eV/f.u.
* mass density: 11.271 g/cm³
* ΔE_f: -0.133 eV per atom
* volume: 27.79 Å³ per atom
* offset from the most stable computed form: 33 meV per atom

7.
This record from Alexandria describes crystalline Gd2BiPb at its relaxed geometry. The functional is PBE.

```
data_Gd2BiPb
_chemical_formula_sum 'Gd2 Bi1 Pb1'
_space_group_name_H-M_alt 'P 4/m m m'
_space_group_IT_number 123
_space_group_name_Hall '-P 4 2'
_cell_length_a 4.1372
_cell_length_b 4.1372
_cell_length_c 6.8614
_cell_angle_alpha 90.00
_cell_angle_beta 90.00
_cell_angle_gamma 90.00
loop_
_atom_site_label
_atom_site_type_symbol
_atom_site_fract_x
_atom_site_fract_y
_atom_site_fract_z
Gd1 Gd 0.0000 0.0000 0.2477
Bi1 Bi 0.5000 0.5000 0.5000
Pb1 Pb 0.5000 0.5000 0.0000
```

## Properties
* DFT total energy: -9.5511 eV per atom
* DOS(E_F): 3.42 states/eV/f.u.
* mass density: 10.331 g/cm³
* ΔE_f: -0.613 eV per atom
* volume: 29.36 Å³ per atom
* offset from the most stable computed form: 20 meV per atom

8.
This record from Alexandria describes crystalline Gd2BiPb at its relaxed geometry. The functional is PBE.

```
data_Gd2BiPb
_chemical_formula_sum 'Gd6 Bi3 Pb3'
_space_group_name_H-M_alt 'R -3 m'
_space_group_IT_number 166
_space_group_name_Hall '-R 3 2"'
_cell_length_a 4.3634
_cell_length_b 4.3634
_cell_length_c 23.6173
_cell_angle_alpha 90.00
_cell_angle_beta 90.00
_cell_angle_gamma 120.00
loop_
_atom_site_label
_atom_site_type_symbol
_atom_site_fract_x
_atom_site_fract_y
_atom_site_fract_z
Gd1 Gd 0.0000 0.0000 0.2479
Bi1 Bi 0.0000 0.0000 0.5000
Pb1 Pb 0.0000 0.0000 0.0000
```

## Properties
* DFT total energy: -9.5711 eV per atom
* DOS(E_F): 1.67 states/eV/f.u.
* mass density: 9.348 g/cm³
* ΔE_f: -0.633 eV per atom
* volume: 32.45 Å³ per atom
* offset from the most stable computed form: 0 meV per atom

9.
This record from Alexandria describes crystalline Gd2BiPb at its relaxed geometry. The functional is PBE.

```
data_Gd2BiPb
_chemical_formula_sum 'Gd8 Bi4 Pb4'
_space_group_name_H-M_alt 'F m -3 m'
_space_group_IT_number 225
_space_group_name_Hall '-F 4 2 3'
_cell_length_a 7.8121
_cell_length_b 7.8121
_cell_length_c 7.8121
_cell_angle_alpha 90.00
_cell_angle_beta 90.00
_cell_angle_gamma 90.00
loop_
_atom_site_label
_atom_site_type_symbol
_atom_site_fract_x
_atom_site_fract_y
_atom_site_fract_z
Gd1 Gd 0.2500 0.2500 0.2500
Bi1 Bi 0.0000 0.0000 0.0000
Pb1 Pb 0.0000 0.0000 0.5000
```

## Properties
* DFT total energy: -9.4708 eV per atom
* DOS(E_F): 5.25 states/eV/f.u.
* mass density: 10.180 g/cm³
* ΔE_f: -0.533 eV per atom
* volume: 29.80 Å³ per atom
* offset from the most stable computed form: 100 meV per atom

10.
This record from Alexandria describes crystalline GdBiPb at its relaxed geometry. The functional is PBE.

```
data_GdBiPb
_chemical_formula_sum 'Gd2 Bi2 Pb2'
_space_group_name_H-M_alt 'I 4 m m'
_space_group_IT_number 107
_space_group_name_Hall 'I 4 -2'
_cell_length_a 4.1253
_cell_length_b 4.1253
_cell_length_c 10.5887
_cell_angle_alpha 90.00
_cell_angle_beta 90.00
_cell_angle_gamma 90.00
loop_
_atom_site_label
_atom_site_type_symbol
_atom_site_fract_x
_atom_site_fract_y
_atom_site_fract_z
Gd1 Gd 0.0000 0.0000 0.0000
Bi1 Bi 0.0000 0.0000 0.6471
Pb1 Pb 0.0000 0.0000 0.3307
```

## Properties
* DFT total energy: -7.6038 eV per atom
* DOS(E_F): 2.02 states/eV/f.u.
* mass density: 10.568 g/cm³
* ΔE_f: -0.380 eV per atom
* volume: 30.03 Å³ per atom
* offset from the most stable computed form: 0 meV per atom

11.
This record from Alexandria describes crystalline GdBiPb at its relaxed geometry. The functional is PBE.

```
data_GdBiPb
_chemical_formula_sum 'Gd1 Bi1 Pb1'
_space_group_name_H-M_alt 'P 3 m 1'
_space_group_IT_number 156
_space_group_name_Hall 'P 3 -2"'
_cell_length_a 5.5979
_cell_length_b 5.5979
_cell_length_c 3.3894
_cell_angle_alpha 90.00
_cell_angle_beta 90.00
_cell_angle_gamma 120.00
loop_
_atom_site_label
_atom_site_type_symbol
_atom_site_fract_x
_atom_site_fract_y
_atom_site_fract_z
Gd1 Gd 0.0000 0.0000 0.0000
Bi1 Bi 0.6667 0.3333 0.5018
Pb1 Pb 0.3333 0.6667 0.4991
```

## Properties
* DFT total energy: -7.5104 eV per atom
* DOS(E_F): 3.79 states/eV/f.u.
* mass density: 10.352 g/cm³
* ΔE_f: -0.287 eV per atom
* volume: 30.66 Å³ per atom
* offset from the most stable computed form: 93 meV per atom

12.
This record from Alexandria describes crystalline Gd2BiPb at its relaxed geometry. The functional is PBE.

```
data_Gd2BiPb
_chemical_formula_sum 'Gd2 Bi1 Pb1'
_space_group_name_H-M_alt 'P 4/m m m'
_space_group_IT_number 123
_space_group_name_Hall '-P 4 2'
_cell_length_a 5.1544
_cell_length_b 5.1544
_cell_length_c 4.3869
_cell_angle_alpha 90.00
_cell_angle_beta 90.00
_cell_angle_gamma 90.00
loop_
_atom_site_label
_atom_site_type_symbol
_atom_site_fract_x
_atom_site_fract_y
_atom_site_fract_z
Gd1 Gd 0.0000 0.5000 0.0000
Bi1 Bi 0.0000 0.0000 0.5000
Pb1 Pb 0.5000 0.5000 0.5000
```

## Properties
* DFT total energy: -9.5276 eV per atom
* DOS(E_F): 2.98 states/eV/f.u.
* mass density: 10.411 g/cm³
* ΔE_f: -0.590 eV per atom
* volume: 29.14 Å³ per atom
* offset from the most stable computed form: 44 meV per atom

What are the magnetic moment values for these records? In order: 22.058; 20.426; 41.981; 13.817; 21.823; 14.396; 14.890; 42.000; 59.491; 14.876; 7.405; 14.987 μB/cell.